# 1
Compound: Ga2Re2O5
Source: the Open Quantum Materials Database
Functional: PBE-GGA
Structure: relaxed

Cell lengths 3.863, 3.863, 7.558 Å; angles 90.00, 90.00, 90.00 degrees
Space group P4/mmm (No. 123)
One atom of each set of equivalent atoms:
Ga: 0.000 0.000 0.000 x1
Ga: 0.000 0.000 0.500 x1
Re: 0.500 0.500 0.228 x2
O: 0.000 0.500 0.229 x4
O: 0.500 0.500 0.500 x1

## Properties
The relative energy among the computed polymorphs is 0 meV/atom. As for the mass density: 8.716 Mg/m³.

# 2
Compound: YHfGa2Cu2
Source: the Open Quantum Materials Database
Functional: PBE-GGA
Structure: relaxed

Cell lengths 4.2822, 4.2822, 6.7383 Å; angles 90.00, 90.00, 120.00 degrees
Space group P-6m2 (No. 187)
One atom of each set of equivalent atoms:
Y: 0.0000 0.0000 0.0000 x1
Hf: 0.0000 0.0000 0.5000 x1
Ga: 0.3333 0.6667 0.2780 x2
Cu: 0.6667 0.3333 0.2898 x2

## Properties
For the total energy, the calculation gives -32.68 eV/cell. As for the mass density: 8.286 Mg/m³.

# 3
Compound: LaNdBiO2
Source: the Open Quantum Materials Database
Functional: PBE-GGA
Structure: relaxed

Cell lengths 4.022, 4.022, 13.946 Å; angles 90.00, 90.00, 90.00 degrees
Space group I4mm (No. 107)
One atom of each set of equivalent atoms:
La: 0.000 0.000 0.000 x2
Nd: 0.000 0.000 0.672 x2
Bi: 0.000 0.000 0.334 x2
O: 0.000 0.500 0.087 x4

## Properties
For the total energy, the calculation gives -73.68 eV/cell. As for the mass density: 7.718 Mg/m³.

# 4
Compound: IrF3
Source: the Open Quantum Materials Database
Functional: PBE-GGA
Structure: relaxed

Cell lengths 4.8290, 4.8290, 12.9311 Å; angles 90.00, 90.00, 120.00 degrees
Space group R-3c (No. 167, hexagonal axes)
One atom of each set of equivalent atoms:
Ir: 0.0000 0.0000 0.0000 x6
F: 0.0000 0.3050 0.2500 x18

## Properties
For the total energy, the calculation gives -115.35 eV/cell. As for the mass density: 9.508 Mg/m³.

# 5
Compound: TlCd2Os
Source: the Open Quantum Materials Database
Functional: PBE-GGA
Structure: relaxed

Cell lengths 6.787, 6.787, 6.787 Å; angles 90.00, 90.00, 90.00 degrees
Space group F-43m (No. 216)
One atom of each set of equivalent atoms:
Tl: 0.000 0.000 0.000 x4
Cd: 0.000 0.000 0.500 x4
Cd: 0.250 0.250 0.750 x4
Os: 0.250 0.250 0.250 x4

## Properties
The relative energy among the computed polymorphs is 104 meV/atom. As for the mass density: 13.158 Mg/m³.

# 6
Compound: CsCdBiTe3
Source: the Open Quantum Materials Database
Functional: PBE-GGA
Structure: relaxed

Cell lengths 4.631, 17.051, 12.010 Å; angles 90.00, 90.00, 90.00 degrees
Space group Cmcm (No. 63)
One atom of each set of equivalent atoms:
Cs: 0.000 0.246 0.250 x4
Cd: 0.000 0.043 0.750 x4
Bi: 0.000 0.500 0.000 x4
Te: 0.000 0.125 0.545 x8
Te: 0.000 0.438 0.750 x4

## Properties
For the total energy, the calculation gives -74.89 eV/cell. As for the mass density: 5.862 Mg/m³.